DFT (GGA+U) results for an optimized crystal structure of ScGe2MoO8.

Values from the calculation:
The total energy comes out at -7.114 eV per atom. Its space group is No. 119.

Cell: 5.6608 5.6608 5.6608 Å, 107.61 107.61 113.26°
Positions (direct):
Sc  0.2500  0.7500  0.5000
Ge  0.7500  0.2500  0.5000
Ge  0.5000  0.5000  0.0000
Mo  0.0000  0.0000  0.0000
O  0.3652  0.0559  0.3092
O  0.2924  0.4726  0.1802
O  0.2924  0.1122  0.8198
O  0.7467  0.0559  0.6908
O  0.8878  0.7076  0.1802
O  0.9441  0.2533  0.3092
O  0.9441  0.6348  0.6908
O  0.5274  0.7076  0.8198